Entry 1:
Computed, not measured: a relaxed structure of UMoAs2 at the PBE level of DFT.

Values from the calculation:
total energy: -8.149 eV/atom
DOS(E_F): 4.9 states/eV per cell
symmetry: R3m, No. 160

Cell lengths 7.7794, 7.7794, 7.7794 Å; angles 25.80, 25.80, 25.80 degrees
Last column: nearest neighbours and their distance in Å.
Positions (direct):
U: 0.0000 0.0000 0.0000  6 As 2.94-2.95
Mo: 0.8329 0.8329 0.8329  6 As 2.55-2.58
As: 0.4294 0.4294 0.4294  3 Mo 2.55
As: 0.5712 0.5712 0.5712  3 Mo 2.58

=====

Entry 2:
Computed, not measured: a relaxed structure of LaTb2Ho6Er at the PBE level of DFT.

Values from the calculation:
total energy: -4.501 eV/atom
DOS(E_F): 30.1 states/eV per cell
symmetry: C2/c, No. 15

Cell lengths 8.7866, 8.7866, 9.4995 Å; angles 93.25, 93.25, 117.70 degrees
Last column: nearest neighbours and their distance in Å.
Positions (direct):
La: 0.0273 0.9727 0.7500  4 Tb 3.37-3.47, 4 Ho 3.58-3.74
La: 0.9727 0.0273 0.2500  4 Tb 3.37-3.47, 4 Ho 3.58-3.74
Tb: 0.1989 0.3055 0.5484  6 Ho 3.26-3.54, 2 La 3.37-3.47, 1 Er 3.53
Tb: 0.3055 0.1989 0.0484  6 Ho 3.26-3.54, 2 La 3.37-3.47, 1 Er 3.53
Tb: 0.6945 0.8011 0.9516  6 Ho 3.26-3.54, 2 La 3.37-3.47, 1 Er 3.53
Tb: 0.8011 0.6945 0.4516  6 Ho 3.26-3.54, 2 La 3.37-3.47, 1 Er 3.53
Ho: 0.0167 0.5628 0.6824  3 Ho 3.21-3.53, 2 Tb 3.40-3.54, 1 Er 3.46, 1 La 3.58
Ho: 0.1258 0.7487 0.0581  7 Ho 3.40-3.72, 1 Tb 3.52, 1 La 3.74
Ho: 0.2513 0.8742 0.4419  7 Ho 3.40-3.72, 1 Tb 3.52, 1 La 3.74
Ho: 0.2917 0.5101 0.8833  4 Ho 3.21-3.46, 3 Tb 3.26-3.42, 2 Er 3.41-3.51
Ho: 0.4372 0.9833 0.8176  3 Ho 3.21-3.53, 2 Tb 3.40-3.54, 1 Er 3.46, 1 La 3.58
Ho: 0.4899 0.7083 0.6167  4 Ho 3.21-3.46, 3 Tb 3.26-3.42, 2 Er 3.41-3.51
Ho: 0.5101 0.2917 0.3833  4 Ho 3.21-3.46, 3 Tb 3.26-3.42, 2 Er 3.41-3.51
Ho: 0.5628 0.0167 0.1824  3 Ho 3.21-3.53, 2 Tb 3.40-3.54, 1 Er 3.46, 1 La 3.58
Ho: 0.7083 0.4899 0.1167  4 Ho 3.21-3.46, 3 Tb 3.26-3.42, 2 Er 3.41-3.51
Ho: 0.7487 0.1258 0.5581  7 Ho 3.40-3.72, 1 Tb 3.52, 1 La 3.74
Ho: 0.8742 0.2513 0.9419  7 Ho 3.40-3.72, 1 Tb 3.52, 1 La 3.74
Ho: 0.9833 0.4372 0.3176  3 Ho 3.21-3.53, 2 Tb 3.40-3.54, 1 Er 3.46, 1 La 3.58
Er: 0.4101 0.5899 0.2500  8 Ho 3.41-3.81, 2 Tb 3.53
Er: 0.5899 0.4101 0.7500  8 Ho 3.41-3.81, 2 Tb 3.53

=====

Entry 3:
Computed, not measured: a relaxed structure of Sr2Li12Ag3Pb at the PBE level of DFT.

Values from the calculation:
total energy: -2.189 eV/atom
DOS(E_F): 8.7 states/eV per cell
symmetry: R-3m, No. 166

Cell lengths 7.4080, 7.4080, 7.4080 Å; angles 85.98, 85.98, 85.98 degrees
Last column: nearest neighbours and their distance in Å.
Positions (direct):
Sr: 0.2463 0.2463 0.2463  3 Ag 3.15, 6 Li 3.35-3.50, 1 Pb 3.48
Sr: 0.7537 0.7537 0.7537  3 Ag 3.15, 6 Li 3.35-3.50, 1 Pb 3.48
Li: 0.0810 0.0810 0.6520  6 Li 2.74-3.03
Li: 0.0810 0.6520 0.0810  6 Li 2.74-3.03
Li: 0.2261 0.6886 0.6886  5 Li 2.73-3.03, 1 Pb 2.74, 1 Ag 2.76
Li: 0.3114 0.3114 0.7739  5 Li 2.74-3.03, 1 Pb 2.74, 1 Ag 2.76
Li: 0.3114 0.7739 0.3114  5 Li 2.74-3.03, 1 Pb 2.74, 1 Ag 2.76
Li: 0.3480 0.9190 0.9190  6 Li 2.73-3.03
Li: 0.6520 0.0810 0.0810  6 Li 2.73-3.03
Li: 0.6886 0.2261 0.6886  5 Li 2.73-3.03, 1 Pb 2.74, 1 Ag 2.76
Li: 0.6886 0.6886 0.2261  5 Li 2.73-3.03, 1 Pb 2.74, 1 Ag 2.76
Li: 0.7739 0.3114 0.3114  5 Li 2.73-3.03, 1 Pb 2.74, 1 Ag 2.76
Li: 0.9190 0.3480 0.9190  6 Li 2.73-3.03
Li: 0.9190 0.9190 0.3480  6 Li 2.73-3.03
Ag: 0.0000 0.5000 0.5000  2 Li 2.76
Ag: 0.5000 0.0000 0.5000  2 Li 2.76
Ag: 0.5000 0.5000 0.0000  2 Li 2.76
Pb: 0.5000 0.5000 0.5000  6 Li 2.74

=====

Entry 4:
Computed, not measured: a relaxed structure of Eu3AgIr at the PBE level of DFT.

Values from the calculation:
total energy: -8.669 eV/atom
DOS(E_F): 20.8 states/eV per cell
symmetry: Pm-3m, No. 221

Cell lengths 5.5731, 5.5731, 5.5731 Å; angles 90.00, 90.00, 90.00 degrees
Last column: nearest neighbours and their distance in Å.
Positions (direct):
Eu: 0.0000 0.0000 0.5000  2 Ir 2.79
Eu: 0.0000 0.5000 0.0000  2 Ir 2.79
Eu: 0.5000 0.0000 0.0000  2 Ir 2.79
Ag: 0.5000 0.5000 0.5000  12 Eu 3.94
Ir: 0.0000 0.0000 0.0000  6 Eu 2.79

=====

Entry 5:
Computed, not measured: a relaxed structure of YTaBRu2 at the PBE level of DFT.

Values from the calculation:
total energy: -8.512 eV/atom
DOS(E_F): 5.4 states/eV per cell
symmetry: P4/mmm, No. 123

Cell lengths 4.1834, 4.1834, 4.6073 Å; angles 90.00, 90.00, 90.00 degrees
Last column: nearest neighbours and their distance in Å.
Positions (direct):
Y: 0.0000 0.0000 0.0000  2 B 2.30
Ta: 0.5000 0.5000 0.0000  4 Y 2.96, 8 Ru 3.11
B: 0.0000 0.0000 0.5000  4 Ru 2.09, 2 Y 2.30
Ru: 0.0000 0.5000 0.5000  2 B 2.09
Ru: 0.5000 0.0000 0.5000  2 B 2.09

=====

Entry 6:
Computed, not measured: a relaxed structure of SnBiPb at the PBE level of DFT.

Values from the calculation:
total energy: -3.806 eV/atom
DOS(E_F): 2.2 states/eV per cell
symmetry: P1, No. 1

Cell lengths 3.4037, 4.0308, 13.7462 Å; angles 90.26, 96.60, 90.23 degrees
Last column: nearest neighbours and their distance in Å.
Positions (direct):
Sn: 0.0000 0.0000 0.0000  6 Sn 3.23-3.40, 4 Pb 3.42-3.48
Sn: 0.4292 0.4964 0.8612  6 Sn 3.23-3.40, 4 Pb 3.41-3.48
Bi: 0.1624 0.9956 0.3371  4 Bi 3.25-3.40, 4 Pb 3.51-3.60
Bi: 0.2728 0.5009 0.5240  4 Bi 3.25-3.40, 4 Pb 3.51-3.60
Pb: 0.5614 0.4998 0.1629  2 Pb 3.40, 4 Sn 3.42-3.48, 4 Bi 3.51-3.60
Pb: 0.8698 0.9967 0.6982  2 Pb 3.40, 4 Sn 3.41-3.48, 4 Bi 3.51-3.60

=====

Entry 7:
Computed, not measured: a relaxed structure of Cr2BiP at the PBE level of DFT.

Values from the calculation:
total energy: -6.587 eV/atom
DOS(E_F): 8.7 states/eV per cell
symmetry: I-42d, No. 122

Cell lengths 8.5655, 8.5655, 8.5655 Å; angles 150.44, 150.44, 42.30 degrees
Last column: nearest neighbours and their distance in Å.
Positions (direct):
Cr: 0.3750 0.2205 0.3455  2 P 2.31, 2 Cr 2.34
Cr: 0.7795 0.1250 0.1545  2 P 2.31, 2 Cr 2.34
Cr: 0.8750 0.0295 0.6545  2 P 2.31, 2 Cr 2.34
Cr: 0.9705 0.6250 0.8455  2 P 2.31, 2 Cr 2.34
Bi: 0.2500 0.7500 0.5000  4 Cr 2.88, 4 P 3.09
Bi: 0.5000 0.5000 0.0000  4 Cr 2.88, 4 P 3.09
P: 0.0000 0.0000 0.0000  4 Cr 2.31
P: 0.7500 0.2500 0.5000  4 Cr 2.31

=====

Entry 8:
Computed, not measured: a relaxed structure of ErNp2As3 at the PBE level of DFT.

Values from the calculation:
total energy: -8.356 eV/atom
DOS(E_F): 72.1 states/eV per cell
symmetry: Fddd, No. 70

Cell lengths 13.5844, 12.9515, 7.0975 Å; angles 79.48, 69.62, 30.91 degrees
Last column: nearest neighbours and their distance in Å.
Positions (direct):
Er: 0.0417 0.0417 0.2083  6 As 2.89-2.90
Er: 0.2083 0.2083 0.0417  6 As 2.89-2.90
Er: 0.7917 0.7917 0.9583  6 As 2.89-2.90
Er: 0.9583 0.9583 0.7917  6 As 2.89-2.90
Np: 0.1249 0.1249 0.6251  6 As 2.89-2.90
Np: 0.2915 0.2915 0.4585  6 As 2.90
Np: 0.3749 0.3749 0.8751  6 As 2.89-2.90
Np: 0.4585 0.4585 0.2915  6 As 2.90
Np: 0.5415 0.5415 0.7085  6 As 2.90
Np: 0.6251 0.6251 0.1249  6 As 2.89-2.90
Np: 0.7085 0.7085 0.5415  6 As 2.90
Np: 0.8751 0.8751 0.3749  6 As 2.89-2.90
As: 0.0420 0.5415 0.2078  4 Np 2.89-2.90, 2 Er 2.90
As: 0.1245 0.6255 0.6255  2 Er 2.89, 4 Np 2.90
As: 0.2078 0.7087 0.0420  4 Np 2.89-2.90, 2 Er 2.90
As: 0.2913 0.7922 0.4585  4 Np 2.89-2.90, 2 Er 2.90
As: 0.3745 0.8755 0.8755  2 Er 2.89, 4 Np 2.90
As: 0.4585 0.9580 0.2913  4 Np 2.89-2.90, 2 Er 2.90
As: 0.5415 0.0420 0.7087  4 Np 2.89-2.90, 2 Er 2.90
As: 0.6255 0.1245 0.1245  2 Er 2.89, 4 Np 2.90
As: 0.7087 0.2078 0.5415  4 Np 2.89-2.90, 2 Er 2.90
As: 0.7922 0.2913 0.9580  4 Np 2.89-2.90, 2 Er 2.90
As: 0.8755 0.3745 0.3745  2 Er 2.89, 4 Np 2.90
As: 0.9580 0.4585 0.7922  4 Np 2.89-2.90, 2 Er 2.90

=====

Entry 9:
Computed, not measured: a relaxed structure of Pm3Si8Tc3 at the PBE level of DFT.

Values from the calculation:
total energy: -6.819 eV/atom
DOS(E_F): 6.6 states/eV per cell
symmetry: Immm, No. 71
energy relative to the elements, uncorrected: -6.73 eV per formula unit

Cell lengths 8.0055, 8.0055, 8.0055 Å; angles 149.73, 104.02, 83.92 degrees
Last column: nearest neighbours and their distance in Å.
Positions (direct):
Pm: 0.0000 0.0000 0.0000  12 Si 3.18-3.19, 4 Tc 3.37
Pm: 0.3196 0.3196 0.0000  4 Tc 3.00-3.13, 8 Si 3.03-3.06
Pm: 0.6804 0.6804 0.0000  4 Tc 3.00-3.13, 8 Si 3.03-3.06
Si: 0.0350 0.6682 0.3668  1 Tc 2.41, 4 Si 2.63-2.67
Si: 0.1710 0.8807 0.2902  3 Tc 2.51-2.54, 3 Si 2.64-2.67
Si: 0.3014 0.6682 0.6332  1 Tc 2.41, 4 Si 2.63-2.67
Si: 0.4095 0.1193 0.2902  3 Tc 2.51-2.54, 3 Si 2.64-2.67
Si: 0.5905 0.8807 0.7098  3 Tc 2.51-2.54, 3 Si 2.64-2.67
Si: 0.6986 0.3318 0.3668  1 Tc 2.41, 4 Si 2.63-2.67
Si: 0.8290 0.1193 0.7098  3 Tc 2.51-2.54, 3 Si 2.64-2.67
Si: 0.9650 0.3318 0.6332  1 Tc 2.41, 4 Si 2.63-2.67
Tc: 0.2686 0.5000 0.7686  6 Si 2.41-2.54
Tc: 0.5000 0.0000 0.5000  4 Si 2.51
Tc: 0.7314 0.5000 0.2314  6 Si 2.41-2.54

=====

Entry 10:
Computed, not measured: a relaxed structure of ZrAl2Sn2 at the PBE level of DFT.

Values from the calculation:
total energy: -4.850 eV/atom
DOS(E_F): 5.7 states/eV per cell
symmetry: P4/mbm, No. 127

Cell lengths 7.4310, 7.4310, 3.8774 Å; angles 90.00, 90.00, 90.00 degrees
Last column: nearest neighbours and their distance in Å.
Positions (direct):
Zr: 0.0000 0.0000 0.0000  4 Al 2.93
Zr: 0.5000 0.5000 0.0000  4 Al 2.93
Al: 0.1274 0.3726 0.0000  1 Al 2.68, 6 Sn 2.86-2.97, 2 Zr 2.93
Al: 0.3726 0.8726 0.0000  1 Al 2.68, 6 Sn 2.86-2.97, 2 Zr 2.93
Al: 0.6274 0.1274 0.0000  1 Al 2.68, 6 Sn 2.86-2.97, 2 Zr 2.93
Al: 0.8726 0.6274 0.0000  1 Al 2.68, 6 Sn 2.86-2.97, 2 Zr 2.93
Sn: 0.1726 0.6726 0.5000  6 Al 2.86-2.97
Sn: 0.3274 0.1726 0.5000  6 Al 2.86-2.97
Sn: 0.6726 0.8274 0.5000  6 Al 2.86-2.97
Sn: 0.8274 0.3274 0.5000  6 Al 2.86-2.97

=====

Entry 11:
Computed, not measured: a relaxed structure of ZrNbPd at the PBE level of DFT.

Values from the calculation:
total energy: -8.229 eV/atom
DOS(E_F): 5.7 states/eV per cell
symmetry: C2/m, No. 12

Cell lengths 7.3692, 7.3692, 4.4705 Å; angles 92.22, 92.22, 27.30 degrees
Last column: nearest neighbours and their distance in Å.
Positions (direct):
Zr: 0.1623 0.1623 0.0313  5 Pd 2.82-3.09, 2 Nb 2.90, 2 Zr 3.08
Zr: 0.8377 0.8377 0.9687  5 Pd 2.82-3.09, 2 Nb 2.90, 2 Zr 3.08
Nb: 0.0000 0.0000 0.5000  4 Nb 2.83, 4 Pd 2.95
Nb: 0.5000 0.5000 0.0000  4 Nb 2.83, 4 Zr 2.90
Pd: 0.3336 0.3336 0.4727  5 Zr 2.82-3.09, 2 Nb 2.95, 2 Pd 2.98
Pd: 0.6664 0.6664 0.5273  5 Zr 2.82-3.09, 2 Nb 2.95, 2 Pd 2.98

=====

Entry 12:
Computed, not measured: a relaxed structure of TcP2Se at the PBE level of DFT.

Values from the calculation:
total energy: -5.588 eV/atom
DOS(E_F): 2.6 states/eV per cell
symmetry: Pmmm, No. 47
energy relative to the elements, uncorrected: 2.32 eV per formula unit

Cell lengths 3.0485, 4.2744, 4.6436 Å; angles 90.00, 90.00, 90.00 degrees
Last column: nearest neighbours and their distance in Å.
Positions (direct):
Tc: 0.0000 0.0000 0.0000  4 P 2.63, 4 Se 2.78
P: 0.0000 0.5000 0.5000  4 Se 2.63, 4 P 2.78
P: 0.5000 0.5000 0.0000  4 Tc 2.63, 4 P 2.78
Se: 0.5000 0.0000 0.5000  4 P 2.63, 4 Tc 2.78